# 1
A plane-wave DFT calculation with PBE-GGA was carried out for a geometry-optimized KYPO2 structure.

a b c (Å): 4.511 4.511 5.680
angles (deg): 90.00 90.00 90.00
Space group P4/mmm (No. 123)
Symmetry-distinct sites (fractional):
K1 0.000 0.000 0.000 (multiplicity 1)
Y1 0.500 0.500 0.500 (multiplicity 1)
P1 0.500 0.500 0.000 (multiplicity 1)
O1 0.000 0.500 0.500 (multiplicity 2)

Results
* E above lowest polymorph: 0.0 meV/atom
* Fermi-level density of states: 2.87 states/eV/cell
* raw formation energy: -1.118 eV per atom
* total magnetic moment: 3.0 μB per formula unit

# 2
A plane-wave DFT calculation with PBE-GGA was carried out for a geometry-optimized HIrS2N structure.

a b c (Å): 3.761 3.761 3.799
angles (deg): 90.00 90.00 90.00
Space group P4/mmm (No. 123)
Symmetry-distinct sites (fractional):
H1 0.000 0.000 0.000 (multiplicity 1)
Ir1 0.500 0.500 0.500 (multiplicity 1)
S1 0.000 0.500 0.000 (multiplicity 2)
N1 0.000 0.000 0.500 (multiplicity 1)

Results
* E above lowest polymorph: 569.3 meV/atom
* Fermi-level density of states: 2.65 states/eV/cell
* total magnetic moment: 0.1 μB per formula unit

Q: Which of these has the highest Fermi-level density of states?
A: KYPO2

Q: Fermi-level density of states of number 2 (HIrS2N)?
A: 2.65 states/eV/cell

Q: Which value of E above lowest polymorph does entry 2 give?
A: 569.3 meV/atom